PBEsol Ca2YMo, relaxed; ΔE_f = 77.5 kJ/mol of atoms; DOS(E_F) = 5.0 states/eV/cell; VASP energy = -4.9103 eV/atom; V = 26.55 Å³ per atom
1.0
5.3157 0.0000 0.0000
2.6579 4.6036 0.0000
2.6579 1.5345 4.3403
Ca Mo Y
2 1 1
Direct
0.7500 0.7500 0.7500
0.2500 0.2500 0.2500
0.0000 0.0000 0.0000
0.5000 0.5000 0.5000